#w
Below is a relaxed structure of CuPbSF, with properties calculated at the GGA-PBE level.

Geometry as POSCAR:
```
CuPbSF
1.0
-9.0766 -0.4148 -0.6268
0.0681 -15.5643 9.3152
-0.3211 1.9925 3.3315
Pb Cu S F
8 8 8 8
Cartesian
-0.3993 -10.3572 8.4329
-8.9303 -3.6295 3.5870
-2.6719 -5.5994 5.3684
-6.6577 -8.3873 6.6515
-7.2328 -0.6299 1.9566
-4.3949 -2.7561 3.5018
-4.9347 -11.2306 8.5181
-2.0968 -13.3568 10.0633
-3.7689 -1.0419 0.2598
-2.7810 -10.0884 5.7656
-0.7277 -8.6867 5.1251
-7.3043 -13.7237 7.5037
-8.2808 -7.2925 3.5633
-5.2396 -14.9373 8.4285
-6.2275 -5.8908 2.9228
-1.7042 -2.2555 1.1847
-2.2755 -4.0904 2.2270
-6.8146 -4.1088 1.8005
-6.2184 -7.7727 4.0492
-2.1939 -11.8704 6.8879
-7.2970 -15.6057 8.6300
-2.7901 -8.2065 4.6392
-6.7330 -11.8888 6.4613
-1.7115 -0.3735 0.0584
-4.8745 -4.7749 4.6629
-4.7185 -0.5188 2.1325
-0.1576 -5.4806 5.5397
-4.4551 -9.2118 7.3569
-0.3508 -1.2405 2.9851
-4.6111 -13.4679 9.8874
-8.9789 -12.7462 9.0348
-9.1720 -8.5061 6.4802
```

#x
Below is a relaxed structure of CuPbSF, with properties calculated at the GGA-PBE level.

Geometry as POSCAR:
```
CuPbSF
1.0
3.5412 0.0000 0.0000
0.0000 3.5412 0.0000
0.0000 0.0000 11.6428
S Cu F Pb
2 2 2 2
Cartesian
0.0000 1.7706 7.0334
1.7706 0.0000 4.6094
1.7706 0.0000 6.9997
0.0000 1.7706 4.6431
0.0000 0.0000 0.0000
1.7706 1.7706 0.0000
1.7706 0.0000 1.7448
0.0000 1.7706 9.8979
```

#y
Below is a relaxed structure of CuPbSF, with properties calculated at the GGA-PBE level.

Geometry as POSCAR:
```
CuPbSF
1.0
1.8740 1.0819 11.7937
-1.8740 1.0819 11.7937
0.0000 -2.1639 11.7937
S F Pb Cu
2 2 2 2
Cartesian
0.0000 0.0000 2.7773
0.0000 0.0000 32.6038
0.0000 0.0000 24.3821
0.0000 0.0000 10.9991
0.0000 0.0000 7.3442
0.0000 0.0000 28.0369
0.0000 0.0000 22.2113
0.0000 0.0000 13.1698
```

What should be chosen as the least stable of them? Choose #y.

#w
Below is a relaxed structure of CuPbSF, with properties calculated at the GGA-PBE level.

Geometry as POSCAR:
```
CuPbSF
1.0
-3.5600 -4.1478 3.3405
-0.2595 -4.0473 -5.3020
6.0620 -3.3701 2.2758
Pb S Cu F
4 4 4 4
Cartesian
-0.8217 -2.1773 1.6497
1.9434 -8.8213 2.4890
0.1597 -5.7299 0.1114
3.2036 -6.4019 -3.6216
1.4164 -5.4790 2.7615
-2.4620 -7.3217 -1.3432
1.6272 -3.2804 -0.4263
3.9034 -7.0493 -0.3636
1.5165 -3.4824 -2.5734
2.2983 -8.1233 -1.3605
-2.2342 -5.2943 3.1953
2.9045 -6.2304 1.3670
0.9146 -5.9450 -2.2735
-1.7317 -4.3816 0.8648
4.7198 -4.4424 1.5226
0.5823 -8.3613 0.5145
```

#x
Below is a relaxed structure of CuPbSF, with properties calculated at the GGA-PBE level.

Geometry as POSCAR:
```
CuPbSF
1.0
9.0302 0.0000 0.0000
0.0000 17.3056 0.0000
0.0000 0.0000 4.2071
F Pb S Cu
8 8 8 8
Cartesian
6.3950 8.6561 0.0000
2.2461 13.5207 0.0000
7.1504 0.0033 0.0000
6.7842 3.7849 0.0000
2.2690 4.8679 0.0000
6.7612 12.4377 0.0000
2.6353 8.6496 0.0000
1.8799 17.3024 0.0000
7.7666 12.9506 2.1035
1.2636 4.3551 2.1035
7.1694 9.3115 2.1035
1.8608 7.9941 2.1035
3.2515 13.0079 2.1035
5.7787 4.2977 2.1035
6.3760 0.6587 2.1035
2.6543 16.6469 2.1035
5.4057 15.1046 2.1035
4.7248 10.6573 2.1035
8.1397 6.4518 2.1035
3.6246 2.2010 2.1035
4.3054 6.6483 2.1035
8.8205 2.0045 2.1035
0.8906 10.8538 2.1035
0.2097 15.3011 2.1035
0.3894 1.7261 0.0000
1.4243 11.2705 0.0000
8.6408 15.5795 0.0000
3.0908 2.6177 0.0000
4.1257 10.3790 0.0000
4.9045 6.9267 0.0000
5.9394 14.6880 0.0000
7.6059 6.0352 0.0000
```

What should be chosen as the least stable of them? Choose #x.

#w
Below is a relaxed structure of CuPbSF, with properties calculated at the GGA-PBE level.

Geometry as POSCAR:
```
CuPbSF
1.0
2.0114 1.1613 10.4738
-2.0114 1.1613 10.4738
0.0000 -2.3226 10.4738
F S Cu Pb
2 2 2 2
Cartesian
0.0000 0.0000 21.7981
0.0000 0.0000 9.6234
0.0000 0.0000 3.7159
0.0000 0.0000 27.7055
0.0000 0.0000 25.3022
0.0000 0.0000 6.1193
0.0000 0.0000 19.1119
0.0000 0.0000 12.3095
```

#x
Below is a relaxed structure of CuPbSF, with properties calculated at the GGA-PBE level.

Geometry as POSCAR:
```
CuPbSF
1.0
6.2353 0.0000 0.0000
0.0000 6.5665 0.0000
0.0000 0.0000 7.7466
Cu F Pb S
4 4 4 4
Cartesian
0.3922 1.9149 3.9806
5.8431 1.3683 0.1073
2.7254 5.1981 3.7660
3.5099 4.6515 7.6393
1.4917 4.5049 7.3935
1.6260 1.2217 0.3532
4.7436 5.3448 3.5201
4.6094 2.0616 4.2265
3.3486 1.3170 2.2410
6.0044 4.6002 5.5056
0.2310 5.2495 1.6323
2.8867 1.9662 6.1143
1.3757 0.0795 4.7181
1.7420 3.3628 3.0285
4.4933 6.4869 6.9018
4.8597 3.2037 0.8448
```

What should be chosen as the least stable of them? Choose #x.

#w
Below is a relaxed structure of CuPbSF, with properties calculated at the GGA-PBE level.

Geometry as POSCAR:
```
CuPbSF
1.0
-1.2231 3.6110 0.9890
-3.0652 -0.3684 -2.4457
-4.7968 -3.4119 6.5257
F Pb Cu S
2 2 2 2
Cartesian
-0.6115 1.8055 0.4945
-1.5326 -0.1842 -1.2229
-6.0772 -1.1763 4.6223
-0.8637 -0.6144 1.1750
-3.9310 -1.8902 2.0400
-3.0099 0.0995 3.7573
-3.7813 0.4568 1.4989
-3.1596 -2.2474 4.2984
```

#x
Below is a relaxed structure of CuPbSF, with properties calculated at the GGA-PBE level.

Geometry as POSCAR:
```
CuPbSF
1.0
-3.9060 1.0040 2.0605
-1.9608 -3.5687 -1.9826
2.2647 -4.9764 6.7178
F Cu Pb S
2 2 2 2
Cartesian
-3.2677 -4.4117 3.4174
-0.3343 -3.1294 3.3784
-1.2236 -5.1140 2.6576
-2.3785 -2.4270 4.1383
-4.4001 -1.9235 0.0585
-1.4667 -0.6412 0.0195
-2.9449 -1.1826 2.4583
-0.6572 -6.3585 4.3376
```

What should be chosen as the least stable of them? Choose #x.

#w
Below is a relaxed structure of CuPbSeF, with properties calculated at the GGA-PBE level.

Geometry as POSCAR:
```
CuPbSeF
1.0
-3.2920 -2.2926 0.6899
2.3425 -2.7840 1.8253
-1.2173 4.0998 7.8155
Se Cu F Pb
2 2 2 2
Cartesian
0.7302 -1.9753 2.8490
-2.8970 0.9984 7.4817
-0.7122 -3.8075 1.8864
-0.2374 -1.2692 0.6288
-1.3208 -1.7576 5.7941
-0.8460 0.7807 4.5366
-2.2821 -1.0728 3.5334
0.1152 0.0959 6.7974
```

#x
Below is a relaxed structure of CuPbSeF, with properties calculated at the GGA-PBE level.

Geometry as POSCAR:
```
CuPbSeF
1.0
-1.2870 9.4088 0.4265
-15.9424 -1.7849 -8.7295
-1.8579 -0.4118 3.4773
Se F Cu Pb
8 8 8 8
Cartesian
-0.5036 2.8926 0.0734
-13.2932 5.9630 -6.3966
-16.7258 4.7312 -8.3764
-3.9361 1.6608 -1.9064
-8.3237 0.8955 -4.3414
-5.2448 6.2907 -2.0574
-8.9057 6.7284 -3.9616
-11.9846 1.3331 -6.2456
-8.1073 3.9984 -1.5989
-6.7705 -0.8179 -1.4550
-2.4277 -0.1421 0.9454
-16.6596 7.3542 -5.7711
-12.3168 8.0300 -3.3707
-15.3738 2.9112 -5.6103
-10.9800 3.2137 -3.2268
-3.7134 4.3008 0.7845
-7.2037 5.2685 -3.2251
-10.2183 -0.0682 -5.4678
-1.7609 1.1014 -0.8104
-10.0257 2.3554 -5.0779
-14.6287 4.2145 -7.3171
-2.6007 3.4094 -0.9858
-15.4685 6.5224 -7.4926
-7.0111 7.6920 -2.8352
-13.2327 3.2007 -4.4320
-13.1843 -1.5704 -4.9711
-5.9029 8.7825 0.1454
-3.3585 6.7488 1.2640
-15.7288 0.4633 -6.0898
-11.3130 5.7341 -3.1063
-5.8546 4.0114 -0.3938
-7.7743 1.4779 -1.7195
```

What should be chosen as the least stable of them? Choose #x.

#w
Below is a relaxed structure of CuPbSeF, with properties calculated at the GGA-PBE level.

Geometry as POSCAR:
```
CuPbSeF
1.0
-3.8246 -8.9309 6.1095
-0.0844 -10.0788 5.4887
-0.9375 -7.6524 8.5016
Cu Pb Se F
2 2 2 2
Cartesian
-3.0438 -16.7449 12.6234
-1.8027 -9.9173 7.4763
-0.9980 -5.4906 4.1392
-3.8484 -21.1715 15.9605
-4.4758 -24.6229 18.5624
-0.3707 -2.0393 1.5373
-1.5116 -8.3160 6.2692
-3.3348 -18.3461 13.8305
```

#x
Below is a relaxed structure of CuPbSeF, with properties calculated at the GGA-PBE level.

Geometry as POSCAR:
```
CuPbSeF
1.0
-6.6230 6.5355 5.7446
-5.1745 4.0973 8.7186
-3.0028 7.3671 7.5024
Cu F Se Pb
2 2 2 2
Cartesian
-2.8737 3.4950 4.2649
-11.9267 14.5050 17.7006
-10.2643 12.4832 15.2334
-4.5361 5.5167 6.7321
-1.7219 2.0941 2.5555
-13.0785 15.9058 19.4100
-9.0432 10.9982 13.4212
-5.7572 7.0018 8.5443
```

What should be chosen as the least stable of them? Choose #w.

#w
Below is a relaxed structure of Rb2CuF4, with properties calculated at the GGA-PBE level.

Geometry as POSCAR:
```
Rb2CuF4
1.0
-1.6455 6.0839 3.6263
-6.1769 2.7147 2.7107
4.4084 -5.7410 -0.6919
F Rb Cu
4 2 1
Cartesian
-0.8843 -1.5132 1.0094
1.3814 0.1714 1.4672
-1.1805 1.3278 0.9563
-6.6419 7.4708 5.3807
-5.0648 5.6969 4.1031
-2.7576 3.1018 2.2340
0.0000 0.0000 0.0000
```

#x
Below is a relaxed structure of Rb2CuF4, with properties calculated at the GGA-PBE level.

Geometry as POSCAR:
```
Rb2CuF4
1.0
-0.5327 1.5835 -6.2764
-3.5716 -1.8928 5.0839
-0.5624 3.6896 0.9786
F Cu Rb
4 1 2
Cartesian
-3.0810 -1.3316 3.2497
-2.0522 -0.1547 -0.5963
-1.0233 1.0222 -4.4423
-0.2812 1.8448 0.4893
0.0000 0.0000 0.0000
-1.8670 2.2236 -1.8505
-2.7998 1.1566 1.6365
```

What should be chosen as the least stable of them? Choose #x.

#w
Below is a relaxed structure of Rb2CuTcF6, with properties calculated at the GGA-PBE level.

Geometry as POSCAR:
```
Rb2CuTcF6
1.0
2.9497 1.7030 9.7016
-2.9497 1.7030 9.7016
0.0000 -3.4060 9.7016
F Tc Rb Cu
12 2 4 2
Cartesian
1.5092 -0.8713 18.2285
-1.5092 0.8713 10.8763
0.0000 -1.7264 15.6819
-1.4951 -0.8632 13.4229
0.0000 -1.7426 10.8763
1.5092 0.8713 10.8763
0.0000 1.7426 18.2285
-1.4951 0.8632 15.6819
1.4951 0.8632 15.6819
-1.5092 -0.8713 18.2285
0.0000 1.7264 13.4229
1.4951 -0.8632 13.4229
0.0000 0.0000 0.0000
0.0000 0.0000 14.5524
0.0000 0.0000 25.3990
0.0000 0.0000 8.2787
0.0000 0.0000 3.7058
0.0000 0.0000 20.8260
0.0000 0.0000 11.9699
0.0000 0.0000 17.1348
```

#x
Below is a relaxed structure of Rb2CuTcF6, with properties calculated at the GGA-PBE level.

Geometry as POSCAR:
```
Rb2CuTcF6
1.0
-1.6576 -5.0544 2.4486
2.9680 -2.1983 4.5441
-2.3892 -0.0529 5.3460
F Rb Cu Tc
6 2 1 1
Cartesian
-1.5436 -1.8674 5.7301
0.4655 -5.4350 6.6033
-0.0438 -2.9031 8.0578
1.2322 -2.8497 5.3912
-1.0347 -4.3992 4.2755
-2.3105 -4.4530 6.9420
-0.8080 -5.4722 9.2421
-0.2704 -1.8311 3.0926
-0.5392 -3.6514 6.1669
-1.0785 -7.3041 12.3360
```

What should be chosen as the least stable of them? Choose #x.

#w
Below is a relaxed structure of CuSF, with properties calculated at the GGA-PBE level.

Geometry as POSCAR:
```
CuSF
1.0
4.9731 0.0000 0.0000
0.0000 3.4012 0.0000
-0.4562 0.0000 4.9533
F Cu S
2 2 2
Cartesian
0.8255 0.0000 0.8866
3.6914 0.0000 4.0667
0.0000 1.7006 0.0000
2.2584 0.0000 2.4767
3.3271 1.7006 1.5291
1.1897 1.7006 3.4243
```

#x
Below is a relaxed structure of CuSF, with properties calculated at the GGA-PBE level.

Geometry as POSCAR:
```
CuSF
1.0
-1.8006 3.4682 2.3077
-3.0575 -1.3265 -0.3921
0.9253 -3.3647 4.1678
Cu S F
2 2 2
Cartesian
-1.5287 -0.6633 -0.1960
-0.4377 0.0518 3.2377
-1.2828 -2.1287 2.8441
-2.6500 0.9057 3.2393
-0.5308 -0.3318 5.2618
-0.3445 0.4354 1.2136
```

What should be chosen as the least stable of them? Choose #w.